## Tl2AgPd (PBE)

Data for a geometry-optimized Tl2AgPd structure.

Cell lengths 4.9297, 4.9297, 4.9297 Å; angles 60.00, 60.00, 60.00 degrees
Positions (direct):
Tl: 0.2500 0.2500 0.2500
Tl: 0.7500 0.7500 0.7500
Ag: 0.0000 0.0000 0.0000
Pd: 0.5000 0.5000 0.5000

Values from the calculation:
DFT total energy	-3.132	eV/atom
theoretical density	12213	kg/m³
total moment	0.00	μB per formula unit
formation enthalpy at 0 K	0.0619	eV/atom